(1)
## BiB3Pd (GGA-PBE)

Data for BiB3Pd after structural relaxation.

The value obtained for the offset from the most stable computed form is 1.216 eV/atom. The crystal system is cubic. For the density of states at the Fermi level, the calculation gives 3.1 states/eV/f.u. For the formation energy, the calculation gives 2.6043 eV per atom.

It has space group Pm-3m (No. 221), with a = 4.659 Å, b = 4.659 Å, c = 4.659 Å, α = 90.00°, β = 90.00° and γ = 90.00°. The inequivalent atoms are Bi at (0.000, 0.000, 0.000), B at (0.000, 0.000, 0.500) and Pd at (0.500, 0.500, 0.500).

---

(2)
## CsFeSb (GGA-PBE)

Data for CsFeSb after structural relaxation.

As for the formation energy without anion corrections: 0.038 eV/atom. The crystal system is tetragonal. For the density of states at the Fermi level, the calculation gives 3.1 states/eV/f.u.

It has space group P4/nmm (No. 129, origin choice 2), with a = 4.178 Å, b = 4.178 Å, c = 12.639 Å, α = 90.00°, β = 90.00° and γ = 90.00°. The inequivalent atoms are Cs at (0.250, 0.250, 0.210), Fe at (0.250, 0.750, 0.500) and Sb at (0.250, 0.250, 0.611).

---

(3)
## Pm3ErIn2 (GGA-PBE)

Data for Pm3ErIn2 after structural relaxation.

The value obtained for the offset from the most stable computed form is 0.000 eV/atom. The crystal system is orthorhombic. For the density of states at the Fermi level, the calculation gives 6.1 states/eV/f.u. For the formation energy, the calculation gives -0.3524 eV per atom.

It has space group Pmc2_1 (No. 26), with a = 5.287 Å, b = 10.004 Å, c = 6.802 Å, α = 90.00°, β = 90.00° and γ = 90.00°. The inequivalent atoms are Pm at (0.000, 0.034, 0.000), Pm at (0.000, 0.327, 0.338), Pm at (0.500, 0.182, 0.727), Er at (0.500, 0.463, 0.062), In at (0.000, 0.356, 0.823) and In at (0.500, 0.147, 0.244).

---

(4)
## Tb2Pr6Nd3Tm (GGA-PBE)

Data for Tb2Pr6Nd3Tm after structural relaxation.

The crystal system is monoclinic. For the density of states at the Fermi level, the calculation gives 16.1 states/eV/f.u. For the formation energy, the calculation gives 0.0141 eV per atom.

It has space group C2/m (No. 12), with a = 6.359 Å, b = 11.019 Å, c = 12.066 Å, α = 90.00°, β = 100.12° and γ = 90.00°. The inequivalent atoms are Tb at (0.000, 0.167, 0.000), Pr at (0.249, 0.334, 0.246), Pr at (0.250, 0.000, 0.246), Nd at (0.000, 0.000, 0.500), Nd at (0.000, 0.333, 0.500) and Tm at (0.000, 0.500, 0.000).

---

(5)
## SiNiIrPd (GGA-PBE)

Data for SiNiIrPd after structural relaxation.

As for the formation energy without anion corrections: -0.319 eV/atom. The crystal system is cubic. For the density of states at the Fermi level, the calculation gives 4.2 states/eV/f.u.

It has space group F-43m (No. 216), with a = 5.945 Å, b = 5.945 Å, c = 5.945 Å, α = 90.00°, β = 90.00° and γ = 90.00°. The inequivalent atoms are Si at (0.000, 0.000, 0.000), Ni at (0.000, 0.000, 0.500), Ir at (0.250, 0.250, 0.250) and Pd at (0.250, 0.250, 0.750).

---

(6)
## BBrF (GGA-PBE)

Data for BBrF after structural relaxation.

The value obtained for the offset from the most stable computed form is 0.015 eV/atom. As for the formation energy without anion corrections: -1.311 eV/atom. The crystal system is monoclinic. For the density of states at the Fermi level, the calculation gives 0.0 states/eV/f.u.

It has space group C2/m (No. 12), with a = 14.049 Å, b = 3.299 Å, c = 5.715 Å, α = 90.00°, β = 99.65° and γ = 90.00°. The inequivalent atoms are B at (0.062, 0.000, 0.027), Br at (0.111, 0.500, 0.826) and F at (0.115, 0.000, 0.246).

---

(7)
## PmInF4 (GGA-PBE)

Data for PmInF4 after structural relaxation.

As for the formation energy without anion corrections: -2.972 eV/atom. The crystal system is tetragonal. For the density of states at the Fermi level, the calculation gives 0.0 states/eV/f.u.

It has space group I-4 (No. 82), with a = 6.995 Å, b = 6.995 Å, c = 5.001 Å, α = 90.00°, β = 90.00° and γ = 90.00°. The inequivalent atoms are Pm at (0.000, 0.000, 0.000), In at (0.000, 0.500, 0.250) and F at (0.167, 0.812, 0.745).

---

(8)
## LaTaNi (GGA-PBE)

Data for LaTaNi after structural relaxation.

The value obtained for the offset from the most stable computed form is 0.519 eV/atom. The crystal system is cubic. For the density of states at the Fermi level, the calculation gives 5.4 states/eV/f.u. For the formation energy, the calculation gives 0.5934 eV per atom.

It has space group F-43m (No. 216), with a = 6.495 Å, b = 6.495 Å, c = 6.495 Å, α = 90.00°, β = 90.00° and γ = 90.00°. The inequivalent atoms are La at (0.000, 0.000, 0.000), Ta at (0.000, 0.000, 0.500) and Ni at (0.250, 0.250, 0.750).

---

(9)
## Ac4Pr3Hg (GGA-PBE)

Data for Ac4Pr3Hg after structural relaxation.

The crystal system is tetragonal. For the density of states at the Fermi level, the calculation gives 11.5 states/eV/f.u. For the formation energy, the calculation gives -0.1012 eV per atom.

It has space group P4/mmm (No. 123), with a = 3.948 Å, b = 3.948 Å, c = 19.998 Å, α = 90.00°, β = 90.00° and γ = 90.00°. The inequivalent atoms are Ac at (0.000, 0.000, 0.104), Ac at (0.000, 0.000, 0.369), Pr at (0.500, 0.500, 0.239), Pr at (0.500, 0.500, 0.500) and Hg at (0.500, 0.500, 0.000).

---

(10)
## KGaSi (GGA-PBE)

Data for KGaSi after structural relaxation.

As for the formation energy without anion corrections: 0.022 eV/atom. The crystal system is trigonal. For the density of states at the Fermi level, the calculation gives 0.8 states/eV/f.u.

It has space group R-3m (No. 166, hexagonal axes), with a = 4.2072 Å, b = 4.2072 Å, c = 36.5637 Å, α = 90.00°, β = 90.00° and γ = 120.00°. The inequivalent atoms are K at (0.0000, 0.0000, 0.1065), Ga at (0.0000, 0.0000, 0.3617) and Si at (0.0000, 0.0000, 0.2881).

---

(11)
## USbRh4 (GGA-PBE)

Data for USbRh4 after structural relaxation.

As for the formation energy without anion corrections: -0.431 eV/atom. The crystal system is monoclinic. For the density of states at the Fermi level, the calculation gives 2.8 states/eV/f.u.

It has space group C2/m (No. 12), with a = 5.568 Å, b = 6.947 Å, c = 6.252 Å, α = 90.00°, β = 113.37° and γ = 90.00°. The inequivalent atoms are U at (0.000, 0.000, 0.000), Sb at (0.000, 0.500, 0.500) and Rh at (0.194, 0.287, 0.242).

---

(12)
## Li4Ho3GaS8 (GGA-PBE)

Data for Li4Ho3GaS8 after structural relaxation.

As for the formation energy without anion corrections: -1.568 eV/atom. The crystal system is monoclinic.

It has space group C2/m (No. 12), with a = 13.084 Å, b = 7.641 Å, c = 7.578 Å, α = 90.00°, β = 124.68° and γ = 90.00°. The inequivalent atoms are Li at (0.000, 0.000, 0.000), Li at (0.000, 0.500, 0.000), Li at (0.250, 0.250, 0.500), Ho at (0.000, 0.000, 0.500), Ho at (0.250, 0.250, 0.000), Ga at (0.000, 0.500, 0.500), S at (0.003, 0.264, 0.261), S at (0.240, 0.500, 0.735) and S at (0.250, 0.000, 0.750).

---

(13)
## In2IrRu (GGA-PBE)

Data for In2IrRu after structural relaxation.

The crystal system is tetragonal. For the density of states at the Fermi level, the calculation gives 4.8 states/eV/f.u. For the formation energy, the calculation gives 0.1734 eV per atom.

It has space group P4mm (No. 99), with a = 2.956 Å, b = 2.956 Å, c = 8.445 Å, α = 90.00°, β = 90.00° and γ = 90.00°. The inequivalent atoms are In at (0.000, 0.000, 0.000), In at (0.500, 0.500, 0.326), Ir at (0.000, 0.000, 0.570) and Ru at (0.500, 0.500, 0.762).

---

(14)
## Al2GeN2 (GGA-PBE)

Data for Al2GeN2 after structural relaxation.

The value obtained for the offset from the most stable computed form is 0.698 eV/atom. As for the formation energy without anion corrections: 0.541 eV/atom. The crystal system is tetragonal. For the density of states at the Fermi level, the calculation gives 2.3 states/eV/f.u.

It has space group P4/mbm (No. 127), with a = 7.065 Å, b = 7.065 Å, c = 2.787 Å, α = 90.00°, β = 90.00° and γ = 90.00°. The inequivalent atoms are Al at (0.130, 0.370, 0.000), Ge at (0.000, 0.000, 0.000) and N at (0.080, 0.580, 0.500).

---

(15)
## ZnCdHg3 (GGA-PBE)

Data for ZnCdHg3 after structural relaxation.

The value obtained for the offset from the most stable computed form is 0.107 eV/atom. The crystal system is cubic. For the density of states at the Fermi level, the calculation gives 2.2 states/eV/f.u. For the formation energy, the calculation gives 0.1503 eV per atom.

It has space group Pm-3m (No. 221), with a = 5.283 Å, b = 5.283 Å, c = 5.283 Å, α = 90.00°, β = 90.00° and γ = 90.00°. The inequivalent atoms are Zn at (0.000, 0.000, 0.000), Cd at (0.500, 0.500, 0.500) and Hg at (0.000, 0.000, 0.500).

---

(16)
## CdIn4Hg8 (GGA-PBE)

Data for CdIn4Hg8 after structural relaxation.

The value obtained for the offset from the most stable computed form is 0.066 eV/atom. The crystal system is cubic. For the density of states at the Fermi level, the calculation gives 4.7 states/eV/f.u. For the formation energy, the calculation gives 0.0844 eV per atom.

It has space group F-43m (No. 216), with a = 11.646 Å, b = 11.646 Å, c = 11.646 Å, α = 90.00°, β = 90.00° and γ = 90.00°. The inequivalent atoms are Cd at (0.000, 0.000, 0.000), In at (0.102, 0.102, 0.398), Hg at (0.140, 0.140, 0.140) and Hg at (0.155, 0.155, 0.655).